The following is a DFT calculation (PBE) of a relaxed structure of Pr3Tm2In3.

```
Pr3Tm2In3
1.0
3.814 0.000 0.000
0.000 5.521 0.000
-1.907 -2.761 11.403
Pr Tm In
3 2 3
direct
0.376 0.376 0.751 Pr
0.624 0.624 0.249 Pr
0.500 0.000 0.000 Pr
0.736 0.236 0.472 Tm
0.264 0.764 0.528 Tm
0.875 0.875 0.751 In
0.125 0.125 0.249 In
0.000 0.500 0.000 In
```

Output
Electronic total energy = -0.3157 Ry per atom
E_form = -358.5 meV per atom

=====

The following is a DFT calculation (PBE) of a relaxed structure of Pr3TmIn2.

```
Pr3TmIn2
1.0
-4.656 0.214 2.599
-2.192 -5.484 -3.475
3.748 -6.069 7.214
Pr Tm In
6 2 4
direct
0.000 0.465 0.965 Pr
0.000 0.965 0.035 Pr
0.500 0.696 0.184 Pr
0.500 0.196 0.816 Pr
0.000 0.805 0.671 Pr
0.000 0.305 0.329 Pr
0.500 0.530 0.538 Tm
0.500 0.030 0.462 Tm
0.500 0.710 0.853 In
0.000 0.793 0.357 In
0.500 0.210 0.147 In
0.000 0.293 0.643 In
```

Output
Electronic total energy = -0.3227 Ry per atom
E_form = -342.8 meV per atom
Relative energy among the computed polymorphs = 0.000 eV per atom

=====

The following is a DFT calculation (PBE) of a relaxed structure of Pr3Tm4In4.

```
Pr3Tm4In4
1.0
5.199 0.000 0.000
0.000 7.487 0.000
-2.600 -3.744 8.544
Pr Tm In
3 4 4
direct
0.890 0.890 0.780 Pr
0.110 0.110 0.220 Pr
0.000 0.500 0.000 Pr
0.323 0.545 0.646 Tm
0.677 0.455 0.354 Tm
0.323 0.102 0.646 Tm
0.677 0.898 0.354 Tm
0.500 0.199 0.000 In
0.810 0.310 0.620 In
0.500 0.801 0.000 In
0.190 0.690 0.380 In
```

Output
Electronic total energy = -0.3093 Ry per atom
E_form = -283.4 meV per atom

=====

no.,total magnetic moment (μB/atom)
1,0.000
2,0.000
3,0.000